CrTcAs2Br | GGA-PBEsol | optimized geometry

Computed properties:
- Total energy: -5.683 eV/atom
- N(E_F): 0.5997 states/eV per atom
- Symmetry: No. 123
- Formation energy (no corrections): 1.0350 eV/atom

a = 4.6133 Å, b = 4.6133 Å, c = 4.9461 Å
α = 90.00°, β = 90.00°, γ = 90.00°
Closest atoms and distances in Å follow each position.
Element x y z (fractional)
1 Cr 0.0000 0.0000 0.0000  4 As 2.31, 2 Br 2.47
2 As 0.0000 0.5000 0.0000  2 Cr 2.31
3 As 0.5000 0.0000 0.0000  2 Cr 2.31
4 Tc 0.5000 0.5000 0.5000  4 Br 3.26, 8 As 3.38
5 Br 0.0000 0.0000 0.5000  2 Cr 2.47



CrTeAsBr2 | GGA-PBEsol | optimized geometry

Computed properties:
- Total energy: -4.347 eV/atom
- N(E_F): 0.7679 states/eV per atom
- Symmetry: No. 123
- Formation energy (no corrections): 0.1761 eV/atom
- Relative energy among the computed polymorphs: 0.000 eV/atom

a = 4.7764 Å, b = 4.7764 Å, c = 5.2136 Å
α = 90.00°, β = 90.00°, γ = 90.00°
Closest atoms and distances in Å follow each position.
Element x y z (fractional)
1 Cr 0.0000 0.0000 0.0000  4 Br 2.39, 2 As 2.61
2 As 0.0000 0.0000 0.5000  2 Cr 2.61
3 Te 0.5000 0.5000 0.5000  4 As 3.38, 8 Br 3.54
4 Br 0.0000 0.5000 0.0000  2 Cr 2.39
5 Br 0.5000 0.0000 0.0000  2 Cr 2.39



TiCrAs2Br | GGA-PBEsol | optimized geometry

Computed properties:
- Total energy: -5.702 eV/atom
- N(E_F): 1.0731 states/eV per atom
- Symmetry: No. 123
- Formation energy (no corrections): 0.4275 eV/atom

a = 4.5944 Å, b = 4.5944 Å, c = 5.0358 Å
α = 90.00°, β = 90.00°, γ = 90.00°
Closest atoms and distances in Å follow each position.
Element x y z (fractional)
1 Cr 0.0000 0.0000 0.0000  4 As 2.30, 2 Br 2.52
2 As 0.0000 0.5000 0.0000  2 Cr 2.30
3 As 0.5000 0.0000 0.0000  2 Cr 2.30
4 Br 0.0000 0.0000 0.5000  2 Cr 2.52
5 Ti 0.5000 0.5000 0.5000  4 Br 3.25, 8 As 3.41



TlCrAs2Br | GGA-PBEsol | optimized geometry

Computed properties:
- Total energy: -4.916 eV/atom
- N(E_F): 0.4431 states/eV per atom
- Symmetry: No. 123
- Formation energy (no corrections): 0.0749 eV/atom
- Relative energy among the computed polymorphs: 0.000 eV/atom

a = 4.6110 Å, b = 4.6110 Å, c = 5.5108 Å
α = 90.00°, β = 90.00°, γ = 90.00°
Closest atoms and distances in Å follow each position.
Element x y z (fractional)
1 Cr 0.0000 0.0000 0.0000  4 As 2.31
2 Tl 0.5000 0.5000 0.5000  4 Br 3.26, 8 As 3.59
3 As 0.0000 0.5000 0.0000  2 Cr 2.31
4 As 0.5000 0.0000 0.0000  2 Cr 2.31
5 Br 0.0000 0.0000 0.5000  2 Cr 2.76



CsAsBr3 | GGA-PBEsol | optimized geometry

Computed properties:
- Total energy: -3.219 eV/atom
- N(E_F): 0.4411 states/eV per atom
- Symmetry: No. 221
- Formation energy (no corrections): -0.8874 eV/atom

a = 5.4337 Å, b = 5.4337 Å, c = 5.4337 Å
α = 90.00°, β = 90.00°, γ = 90.00°
Closest atoms and distances in Å follow each position.
Element x y z (fractional)
1 Cs 0.5000 0.5000 0.5000  12 Br 3.84
2 As 0.0000 0.0000 0.0000  6 Br 2.72
3 Br 0.0000 0.5000 0.0000  2 As 2.72
4 Br 0.0000 0.0000 0.5000  2 As 2.72
5 Br 0.5000 0.0000 0.0000  2 As 2.72



CsHgAsBr2 | GGA-PBEsol | optimized geometry

Computed properties:
- Total energy: -2.472 eV/atom
- N(E_F): 0.3351 states/eV per atom
- Symmetry: No. 123
- Formation energy (no corrections): -0.4014 eV/atom

a = 5.1466 Å, b = 5.8482 Å, c = 5.8482 Å
α = 90.00°, β = 90.00°, γ = 90.00°
Closest atoms and distances in Å follow each position.
Element x y z (fractional)
1 Cs 0.5000 0.5000 0.5000  8 Br 3.90, 4 As 4.14
2 As 0.5000 0.0000 0.0000  2 Hg 2.57
3 Hg 0.0000 0.0000 0.0000  2 As 2.57
4 Br 0.0000 0.0000 0.5000  2 Hg 2.92
5 Br 0.0000 0.5000 0.0000  2 Hg 2.92



Cs2HgAsBr6 | GGA-PBEsol | optimized geometry

Computed properties:
- Total energy: -2.861 eV/atom
- N(E_F): 0.2360 states/eV per atom
- Symmetry: No. 225
- Formation energy (no corrections): -0.9830 eV/atom

a = 7.7994 Å, b = 7.7994 Å, c = 7.7994 Å
α = 60.00°, β = 60.00°, γ = 60.00°
Closest atoms and distances in Å follow each position.
Element x y z (fractional)
1 Cs 0.7500 0.7500 0.7500  12 Br 3.90
2 Cs 0.2500 0.2500 0.2500  12 Br 3.90
3 As 0.0000 0.0000 0.0000  6 Br 2.64
4 Hg 0.5000 0.5000 0.5000  6 Br 2.87
5 Br 0.7606 0.2394 0.2394  1 As 2.64, 1 Hg 2.87
6 Br 0.7606 0.7606 0.2394  1 As 2.64, 1 Hg 2.87
7 Br 0.2394 0.7606 0.7606  1 As 2.64, 1 Hg 2.87
8 Br 0.7606 0.2394 0.7606  1 As 2.64, 1 Hg 2.87
9 Br 0.2394 0.7606 0.2394  1 As 2.64, 1 Hg 2.87
10 Br 0.2394 0.2394 0.7606  1 As 2.64, 1 Hg 2.87



Cs2KAsBr6 | GGA-PBEsol | optimized geometry

Computed properties:
- Total energy: -3.179 eV/atom
- N(E_F): 0.0000 states/eV per atom
- Symmetry: No. 225
- Formation energy (no corrections): -1.2444 eV/atom

a = 8.0495 Å, b = 8.0495 Å, c = 8.0495 Å
α = 60.00°, β = 60.00°, γ = 60.00°
Closest atoms and distances in Å follow each position.
Element x y z (fractional)
1 Cs 0.7500 0.7500 0.7500  12 Br 4.03
2 Cs 0.2500 0.2500 0.2500  12 Br 4.03
3 K 0.5000 0.5000 0.5000  6 Br 3.07
4 As 0.0000 0.0000 0.0000  6 Br 2.62
5 Br 0.7695 0.2305 0.2305  1 As 2.62
6 Br 0.7695 0.7695 0.2305  1 As 2.62
7 Br 0.2305 0.7695 0.7695  1 As 2.62
8 Br 0.7695 0.2305 0.7695  1 As 2.62
9 Br 0.2305 0.7695 0.2305  1 As 2.62
10 Br 0.2305 0.2305 0.7695  1 As 2.62



Cs2NaAsBr6 | GGA-PBEsol | optimized geometry

Computed properties:
- Total energy: -3.188 eV/atom
- N(E_F): 0.0000 states/eV per atom
- Symmetry: No. 225
- Formation energy (no corrections): -1.2269 eV/atom

a = 7.7769 Å, b = 7.7769 Å, c = 7.7769 Å
α = 60.00°, β = 60.00°, γ = 60.00°
Closest atoms and distances in Å follow each position.
Element x y z (fractional)
1 Cs 0.2500 0.2500 0.2500  12 Br 3.89
2 Cs 0.7500 0.7500 0.7500  12 Br 3.89
3 Na 0.5000 0.5000 0.5000  6 Br 2.87
4 As 0.0000 0.0000 0.0000  6 Br 2.63
5 Br 0.2389 0.7611 0.2389  1 As 2.63, 1 Na 2.87
6 Br 0.2389 0.2389 0.7611  1 As 2.63, 1 Na 2.87
7 Br 0.7611 0.7611 0.2389  1 As 2.63, 1 Na 2.87
8 Br 0.7611 0.2389 0.2389  1 As 2.63, 1 Na 2.87
9 Br 0.2389 0.7611 0.7611  1 As 2.63, 1 Na 2.87
10 Br 0.7611 0.2389 0.7611  1 As 2.63, 1 Na 2.87



CsAs2OsBr | GGA-PBEsol | optimized geometry

Computed properties:
- Total energy: -2.439 eV/atom
- N(E_F): 1.7097 states/eV per atom
- Symmetry: No. 123
- Formation energy (no corrections): 2.6094 eV/atom

a = 5.5327 Å, b = 5.5327 Å, c = 5.9961 Å
α = 90.00°, β = 90.00°, γ = 90.00°
Closest atoms and distances in Å follow each position.
Element x y z (fractional)
1 Cs 0.0000 0.0000 0.0000  4 As 2.77, 2 Br 3.00
2 As 0.0000 0.5000 0.0000  2 Cs 2.77
3 As 0.5000 0.0000 0.0000  2 Cs 2.77
4 Os 0.5000 0.5000 0.5000  4 Br 3.91, 8 As 4.08
5 Br 0.0000 0.0000 0.5000  2 Cs 3.00



CsAs2PBr | GGA-PBEsol | optimized geometry

Computed properties:
- Total energy: -3.764 eV/atom
- N(E_F): 0.5047 states/eV per atom
- Symmetry: No. 123
- Formation energy (no corrections): -0.0011 eV/atom

a = 4.7649 Å, b = 4.7649 Å, c = 6.6427 Å
α = 90.00°, β = 90.00°, γ = 90.00°
Closest atoms and distances in Å follow each position.
Element x y z (fractional)
1 Cs 0.5000 0.5000 0.5000  4 Br 3.37
2 P 0.0000 0.0000 0.0000  4 As 2.38
3 As 0.0000 0.5000 0.0000  2 P 2.38
4 As 0.5000 0.0000 0.0000  2 P 2.38
5 Br 0.0000 0.0000 0.5000  2 P 3.32, 4 Cs 3.37



CsAsPdBr2 | GGA-PBEsol | optimized geometry

Computed properties:
- Total energy: -3.652 eV/atom
- N(E_F): 0.7537 states/eV per atom
- Symmetry: No. 123
- Formation energy (no corrections): -0.5021 eV/atom

a = 4.6757 Å, b = 5.5079 Å, c = 5.5079 Å
α = 90.00°, β = 90.00°, γ = 90.00°
Closest atoms and distances in Å follow each position.
Element x y z (fractional)
1 Cs 0.5000 0.5000 0.5000  8 Br 3.61, 4 As 3.89
2 As 0.5000 0.0000 0.0000  2 Pd 2.34
3 Br 0.0000 0.0000 0.5000  2 Pd 2.75
4 Br 0.0000 0.5000 0.0000  2 Pd 2.75
5 Pd 0.0000 0.0000 0.0000  2 As 2.34



> Number 7 is which compound?

Cs2HgAsBr6



> total energy of number 1 (CrTcAs2Br)?

-5.683 eV/atom



> What is the formula in the tenth record?

CsAs2OsBr



> Among the records above, which one has the lowest total energy?

TiCrAs2Br